Compound: LiZn2FeOs
Source: the Alexandria database
Functional: GGA-PBEsol
Structure: optimized geometry Values from VASP.

SG	P4/mmm, No. 123

Cell and atoms, written as Quantum ESPRESSO input:
```
&SYSTEM
  ibrav = 0, nat = 5, ntyp = 4
/
ATOMIC_SPECIES
Zn 65.41 Zn.upf
Os 190.23 Os.upf
Fe 55.84 Fe.upf
Li 6.94 Li.upf
ATOMIC_POSITIONS crystal
Zn 0.000 0.500 0.000
Zn 0.500 0.000 0.000
Os 0.000 0.000 0.500
Fe 0.500 0.500 0.500
Li 0.000 0.000 0.000
CELL_PARAMETERS angstrom
-2.499 0.984 2.951
-1.916 -3.469 -0.466
2.576 -1.796 2.779
```

Compound: Li2FeP
Source: the Alexandria database
Functional: GGA-PBEsol
Structure: optimized geometry Values from VASP.

SG	Immm, No. 71

Cell and atoms, written as Quantum ESPRESSO input:
```
&SYSTEM
  ibrav = 0, nat = 4, ntyp = 3
/
ATOMIC_SPECIES
Fe 55.84 Fe.upf
Li 6.94 Li.upf
P 30.97 P.upf
ATOMIC_POSITIONS crystal
Fe 0.000 0.500 0.000
Li 0.766 0.766 0.531
Li 0.234 0.234 0.469
P 0.500 0.000 0.000
CELL_PARAMETERS angstrom
2.767 0.000 0.000
0.000 3.725 0.000
-1.383 -1.863 4.313
```

Compound: Li2FeP
Source: the Alexandria database
Functional: GGA-PBEsol
Structure: optimized geometry Values from VASP.

SG	P4/mmm, No. 123

Cell and atoms, written as Quantum ESPRESSO input:
```
&SYSTEM
  ibrav = 0, nat = 4, ntyp = 3
/
ATOMIC_SPECIES
Fe 55.84 Fe.upf
Li 6.94 Li.upf
P 30.97 P.upf
ATOMIC_POSITIONS crystal
Fe 0.000 0.000 0.500
Li 0.000 0.500 0.000
Li 0.500 0.000 0.000
P 0.500 0.500 0.500
CELL_PARAMETERS angstrom
-0.755 2.989 -1.485
-3.075 -1.215 -0.882
-1.502 1.319 3.418
```

Compound: Li2Fe12P7
Source: the Alexandria database
Functional: GGA-PBEsol
Structure: optimized geometry Values from VASP.

SG	P-6, No. 174

Cell and atoms, written as Quantum ESPRESSO input:
```
&SYSTEM
  ibrav = 0, nat = 21, ntyp = 3
/
ATOMIC_SPECIES
Li 6.94 Li.upf
Fe 55.84 Fe.upf
P 30.97 P.upf
ATOMIC_POSITIONS crystal
Li 0.000 0.333 0.667
Li 0.500 0.000 0.000
Fe 0.000 0.551 0.055
Fe 0.500 0.625 0.903
Fe 0.000 0.504 0.449
Fe 0.500 0.097 0.723
Fe 0.500 0.277 0.375
Fe 0.500 0.457 0.212
Fe 0.000 0.945 0.496
Fe 0.000 0.046 0.286
Fe 0.000 0.240 0.954
Fe 0.500 0.788 0.245
Fe 0.000 0.714 0.760
Fe 0.500 0.755 0.543
P 0.500 0.380 0.924
P 0.500 0.543 0.620
P 0.000 0.667 0.333
P 0.500 0.076 0.457
P 0.000 0.248 0.204
P 0.000 0.796 0.044
P 0.000 0.956 0.752
CELL_PARAMETERS angstrom
-2.399 0.285 -2.569
-5.542 -4.896 4.632
0.006 8.673 0.957
```

Compound: LiFeP2
Source: the Alexandria database
Functional: GGA-PBEsol
Structure: optimized geometry Values from VASP.

SG	C2/m, No. 12

Cell and atoms, written as Quantum ESPRESSO input:
```
&SYSTEM
  ibrav = 0, nat = 4, ntyp = 3
/
ATOMIC_SPECIES
Fe 55.84 Fe.upf
Li 6.94 Li.upf
P 30.97 P.upf
ATOMIC_POSITIONS crystal
Fe 0.000 0.000 0.500
Li 0.500 0.000 0.000
P 0.735 0.471 0.696
P 0.265 0.529 0.304
CELL_PARAMETERS angstrom
-1.703 -0.300 2.179
-1.748 -0.745 -3.245
2.117 -4.752 1.002
```

Compound: LiFeP2
Source: the Alexandria database
Functional: GGA-PBEsol
Structure: optimized geometry Values from VASP.

SG	P4/mmm, No. 123

Cell and atoms, written as Quantum ESPRESSO input:
```
&SYSTEM
  ibrav = 0, nat = 4, ntyp = 3
/
ATOMIC_SPECIES
Fe 55.84 Fe.upf
Li 6.94 Li.upf
P 30.97 P.upf
ATOMIC_POSITIONS crystal
Fe 0.500 0.500 0.000
Li 0.500 0.500 0.500
P 0.000 0.000 0.794
P 0.000 0.000 0.206
CELL_PARAMETERS angstrom
2.710 0.000 0.000
0.000 2.710 0.000
0.000 0.000 6.699
```

Compound: LiFePb
Source: the Alexandria database
Functional: GGA-PBEsol
Structure: optimized geometry Values from VASP.

SG	Imm2, No. 44

Cell and atoms, written as Quantum ESPRESSO input:
```
&SYSTEM
  ibrav = 0, nat = 3, ntyp = 3
/
ATOMIC_SPECIES
Fe 55.84 Fe.upf
Li 6.94 Li.upf
Pb 207.20 Pb.upf
ATOMIC_POSITIONS crystal
Fe 0.004 0.004 0.007
Li 0.661 0.661 0.321
Pb 0.336 0.336 0.672
CELL_PARAMETERS angstrom
3.067 0.000 0.000
0.000 3.838 0.000
-1.534 -1.919 4.217
```

Compound: Li2FePb
Source: the Alexandria database
Functional: GGA-PBEsol
Structure: optimized geometry Values from VASP.

SG	P4/mmm, No. 123

Cell and atoms, written as Quantum ESPRESSO input:
```
&SYSTEM
  ibrav = 0, nat = 4, ntyp = 3
/
ATOMIC_SPECIES
Fe 55.84 Fe.upf
Li 6.94 Li.upf
Pb 207.20 Pb.upf
ATOMIC_POSITIONS crystal
Fe 0.000 0.500 0.500
Li 0.000 0.000 0.000
Li 0.500 0.500 0.000
Pb 0.500 0.000 0.500
CELL_PARAMETERS angstrom
-2.217 3.116 -0.712
-2.071 -0.742 3.207
2.672 2.424 2.286
```

| no. | energy of formation from the pure elements (meV/atom) | spin magnetization (μB/f.u.) | DOS at the Fermi energy (states/eV/cell) |
| --- | --- | --- | --- |
| 1 | 1001 | 3.3 | 3.39 |
| 2 | -220 | 1.4 | 1.45 |
| 3 | -218 | 2.3 | 2.55 |
| 4 | -608 | 3.8 | 19.56 |
| 5 | -391 | 0.0 | 2.01 |
| 6 | -422 | 0.9 | 0.65 |
| 7 | 320 | 2.4 | 3.73 |
| 8 | 143 | 2.4 | 3.20 |